1.
# Sr2AlSiP (PBE, optimized geometry)
data_Sr2AlSiP
_cell_length_a 7.558
_cell_length_b 4.245
_cell_length_c 9.330
_cell_angle_alpha 90.00
_cell_angle_beta 107.14
_cell_angle_gamma 90.00
_symmetry_space_group_name_H-M 'P 1 21/m 1'
_symmetry_Int_Tables_number 11
loop_
_symmetry_equiv_pos_as_xyz
'x,y,z'
'-x,-y,-z'
'-x,y+1/2,-z'
'x,-y+1/2,z'
loop_
_atom_site_label
_atom_site_type_symbol
_atom_site_fract_x
_atom_site_fract_y
_atom_site_fract_z
_atom_site_occupancy
Sr1 Sr 0.177 0.250 0.401 1
Sr2 Sr 0.230 0.250 0.962 1
Al1 Al 0.493 0.750 0.269 1
Si1 Si 0.322 0.750 0.697 1
P1 P 0.176 0.750 0.176 1
# Energy relative to the elements, uncorrected   -0.643 eV/atom



2.
# MgSiHg (PBE, optimized geometry)
data_MgSiHg
_cell_length_a 4.5881
_cell_length_b 4.5881
_cell_length_c 3.3062
_cell_angle_alpha 90.00
_cell_angle_beta 90.00
_cell_angle_gamma 120.00
_symmetry_space_group_name_H-M 'P 3 m 1'
_symmetry_Int_Tables_number 156
loop_
_symmetry_equiv_pos_as_xyz
'x,y,z'
'-y,x-y,z'
'-x+y,-x,z'
'-y,-x,z'
'-x+y,y,z'
'x,x-y,z'
loop_
_atom_site_label
_atom_site_type_symbol
_atom_site_fract_x
_atom_site_fract_y
_atom_site_fract_z
_atom_site_occupancy
Mg1 Mg 0.0000 0.0000 0.0000 1
Si1 Si 0.6667 0.3333 0.4980 1
Hg1 Hg 0.3333 0.6667 0.5028 1
# Energy relative to the elements, uncorrected   0.185 eV/atom



3.
# TiGaCu (PBE, optimized geometry)
data_TiGaCu
_cell_length_a 4.792
_cell_length_b 13.632
_cell_length_c 2.690
_cell_angle_alpha 90.00
_cell_angle_beta 90.06
_cell_angle_gamma 90.00
_symmetry_space_group_name_H-M 'C 1 m 1'
_symmetry_Int_Tables_number 8
loop_
_symmetry_equiv_pos_as_xyz
'x,y,z'
'x,-y,z'
'x+1/2,y+1/2,z'
'x+1/2,-y+1/2,z'
loop_
_atom_site_label
_atom_site_type_symbol
_atom_site_fract_x
_atom_site_fract_y
_atom_site_fract_z
_atom_site_occupancy
Ti1 Ti 0.000 0.175 0.000 1
Ga1 Ga 0.497 0.146 0.500 1
Cu1 Cu 0.167 0.000 0.503 1
Cu2 Cu 0.205 0.500 0.004 1
# DFT formation energy   -0.242 eV/atom



4.
# CsErCu2F8 (PBE, optimized geometry)
data_CsErCu2F8
_cell_length_a 5.7045
_cell_length_b 5.7045
_cell_length_c 23.3304
_cell_angle_alpha 90.00
_cell_angle_beta 90.00
_cell_angle_gamma 120.00
_symmetry_space_group_name_H-M 'R -3'
_symmetry_Int_Tables_number 148
_symmetry_space_group_name_Hall '-R 3'
loop_
_atom_site_label
_atom_site_type_symbol
_atom_site_fract_x
_atom_site_fract_y
_atom_site_fract_z
_atom_site_occupancy
Cs1 Cs 0.0000 0.0000 0.0000 1
Er1 Er 0.0000 0.0000 0.5000 1
Cu1 Cu 0.0000 0.0000 0.2430 1
F1 F 0.0000 0.0000 0.3208 1
F2 F 0.0120 0.6503 0.1141 1
# Energy relative to the elements, uncorrected   -2.489 eV/atom



5.
# Na3Ce3GaO8 (PBE, optimized geometry)
data_Na3Ce3GaO8
_cell_length_a 6.9037
_cell_length_b 6.9037
_cell_length_c 16.7209
_cell_angle_alpha 90.00
_cell_angle_beta 90.00
_cell_angle_gamma 120.00
_symmetry_space_group_name_H-M 'R -3 m'
_symmetry_Int_Tables_number 166
_symmetry_space_group_name_Hall '-R 3 2"'
loop_
_atom_site_label
_atom_site_type_symbol
_atom_site_fract_x
_atom_site_fract_y
_atom_site_fract_z
_atom_site_occupancy
Na1 Na 0.0000 0.5000 0.0000 1
Ce1 Ce 0.0000 0.5000 0.5000 1
Ga1 Ga 0.0000 0.0000 0.5000 1
O1 O 0.0000 0.0000 0.2398 1
O2 O 0.0310 0.5155 0.2321 1
# Energy relative to the elements, uncorrected   -2.477 eV/atom



6.
# La3Tb6Y2Mg (PBE, optimized geometry)
data_La3Tb6Y2Mg
_cell_length_a 6.217
_cell_length_b 10.780
_cell_length_c 11.857
_cell_angle_alpha 90.00
_cell_angle_beta 100.14
_cell_angle_gamma 90.00
_symmetry_space_group_name_H-M 'C 1 2/m 1'
_symmetry_Int_Tables_number 12
loop_
_symmetry_equiv_pos_as_xyz
'x,y,z'
'-x,-y,-z'
'-x,y,-z'
'x,-y,z'
'x+1/2,y+1/2,z'
'-x+1/2,-y+1/2,-z'
'-x+1/2,y+1/2,-z'
'x+1/2,-y+1/2,z'
loop_
_atom_site_label
_atom_site_type_symbol
_atom_site_fract_x
_atom_site_fract_y
_atom_site_fract_z
_atom_site_occupancy
La1 La 0.000 0.000 0.000 1
La2 La 0.000 0.334 0.000 1
Tb1 Tb 0.246 0.334 0.744 1
Tb2 Tb 0.249 0.000 0.744 1
Y1 Y 0.000 0.166 0.500 1
Mg1 Mg 0.000 0.500 0.500 1
# DFT formation energy   0.034 eV/atom



7.
# Sm12AlPd6 (PBE, optimized geometry)
data_Sm12AlPd6
_cell_length_a 14.3930
_cell_length_b 14.3930
_cell_length_c 9.1013
_cell_angle_alpha 90.00
_cell_angle_beta 90.00
_cell_angle_gamma 120.00
_symmetry_space_group_name_H-M 'R -3'
_symmetry_Int_Tables_number 148
_symmetry_space_group_name_Hall '-R 3'
loop_
_atom_site_label
_atom_site_type_symbol
_atom_site_fract_x
_atom_site_fract_y
_atom_site_fract_z
_atom_site_occupancy
Sm1 Sm 0.0397 0.2498 0.4295 1
Sm2 Sm 0.0574 0.1777 0.8234 1
Al1 Al 0.0000 0.0000 0.5000 1
Pd1 Pd 0.0708 0.4987 0.7803 1
# DFT formation energy   -0.426 eV/atom
# Polymorph energy (0 for the lowest one)   112 meV per atom



8.
# PrHoCdRh (PBE, optimized geometry)
data_PrHoCdRh
_cell_length_a 7.285
_cell_length_b 7.285
_cell_length_c 7.285
_cell_angle_alpha 90.00
_cell_angle_beta 90.00
_cell_angle_gamma 90.00
_symmetry_space_group_name_H-M 'F -4 3 m'
_symmetry_Int_Tables_number 216
_symmetry_space_group_name_Hall 'F -4 2 3'
loop_
_atom_site_label
_atom_site_type_symbol
_atom_site_fract_x
_atom_site_fract_y
_atom_site_fract_z
_atom_site_occupancy
Pr1 Pr 0.000 0.000 0.000 1
Ho1 Ho 0.000 0.000 0.500 1
Cd1 Cd 0.250 0.250 0.250 1
Rh1 Rh 0.250 0.250 0.750 1
# DFT formation energy   -0.459 eV/atom



9.
# SrSbSCl2 (PBE, optimized geometry)
data_SrSbSCl2
_cell_length_a 5.344
_cell_length_b 5.344
_cell_length_c 5.429
_cell_angle_alpha 90.00
_cell_angle_beta 90.00
_cell_angle_gamma 90.00
_symmetry_space_group_name_H-M 'P 4/m m m'
_symmetry_Int_Tables_number 123
_symmetry_space_group_name_Hall '-P 4 2'
loop_
_atom_site_label
_atom_site_type_symbol
_atom_site_fract_x
_atom_site_fract_y
_atom_site_fract_z
_atom_site_occupancy
Sr1 Sr 0.000 0.000 0.000 1
Sb1 Sb 0.500 0.500 0.500 1
S1 S 0.500 0.500 0.000 1
Cl1 Cl 0.000 0.500 0.500 1
# Energy relative to the elements, uncorrected   -0.863 eV/atom
# Polymorph energy (0 for the lowest one)   0 meV per atom



10.
# LiCeGe (PBE, optimized geometry)
data_LiCeGe
_cell_length_a 4.3797
_cell_length_b 4.3797
_cell_length_c 3.9146
_cell_angle_alpha 90.00
_cell_angle_beta 90.00
_cell_angle_gamma 120.00
_symmetry_space_group_name_H-M 'P -6 m 2'
_symmetry_Int_Tables_number 187
_symmetry_space_group_name_Hall 'P -6 2'
loop_
_atom_site_label
_atom_site_type_symbol
_atom_site_fract_x
_atom_site_fract_y
_atom_site_fract_z
_atom_site_occupancy
Li1 Li 0.0000 0.0000 0.0000 1
Ce1 Ce 0.6667 0.3333 0.5000 1
Ge1 Ge 0.3333 0.6667 0.0000 1
# DFT formation energy   -0.478 eV/atom



11.
# Ce2SmTh9 (PBE, optimized geometry)
data_Ce2SmTh9
_cell_length_a 4.999
_cell_length_b 4.999
_cell_length_c 15.057
_cell_angle_alpha 90.00
_cell_angle_beta 90.00
_cell_angle_gamma 90.00
_symmetry_space_group_name_H-M 'P 4/m m m'
_symmetry_Int_Tables_number 123
_symmetry_space_group_name_Hall '-P 4 2'
loop_
_atom_site_label
_atom_site_type_symbol
_atom_site_fract_x
_atom_site_fract_y
_atom_site_fract_z
_atom_site_occupancy
Ce1 Ce 0.000 0.000 0.165 1
Sm1 Sm 0.000 0.000 0.500 1
Th1 Th 0.000 0.500 0.000 1
Th2 Th 0.000 0.500 0.329 1
Th3 Th 0.500 0.500 0.163 1
Th4 Th 0.500 0.500 0.500 1
# DFT formation energy   0.033 eV/atom



12.
# CeZrGe2 (PBE, optimized geometry)
data_CeZrGe2
_cell_length_a 4.0181
_cell_length_b 4.0181
_cell_length_c 20.1226
_cell_angle_alpha 90.00
_cell_angle_beta 90.00
_cell_angle_gamma 120.00
_symmetry_space_group_name_H-M 'R -3 m'
_symmetry_Int_Tables_number 166
_symmetry_space_group_name_Hall '-R 3 2"'
loop_
_atom_site_label
_atom_site_type_symbol
_atom_site_fract_x
_atom_site_fract_y
_atom_site_fract_z
_atom_site_occupancy
Ce1 Ce 0.0000 0.0000 0.0000 1
Zr1 Zr 0.0000 0.0000 0.5000 1
Ge1 Ge 0.0000 0.0000 0.2433 1
# DFT formation energy   -0.699 eV/atom



13.
# In2CuTc (PBE, optimized geometry)
data_In2CuTc
_cell_length_a 4.072
_cell_length_b 4.072
_cell_length_c 8.409
_cell_angle_alpha 90.00
_cell_angle_beta 90.00
_cell_angle_gamma 90.00
_symmetry_space_group_name_H-M 'I 4/m m m'
_symmetry_Int_Tables_number 139
_symmetry_space_group_name_Hall '-I 4 2'
loop_
_atom_site_label
_atom_site_type_symbol
_atom_site_fract_x
_atom_site_fract_y
_atom_site_fract_z
_atom_site_occupancy
In1 In 0.000 0.500 0.250 1
Cu1 Cu 0.000 0.000 0.000 1
Tc1 Tc 0.000 0.000 0.500 1
# DFT formation energy   0.280 eV/atom
# Polymorph energy (0 for the lowest one)   92 meV per atom



14.
# Nd2Ga2HgRh5 (PBE, optimized geometry)
data_Nd2Ga2HgRh5
_cell_length_a 9.964
_cell_length_b 9.964
_cell_length_c 3.659
_cell_angle_alpha 90.00
_cell_angle_beta 90.00
_cell_angle_gamma 90.00
_symmetry_space_group_name_H-M 'P 4/m b m'
_symmetry_Int_Tables_number 127
_symmetry_space_group_name_Hall '-P 4 2ab'
loop_
_atom_site_label
_atom_site_type_symbol
_atom_site_fract_x
_atom_site_fract_y
_atom_site_fract_z
_atom_site_occupancy
Nd1 Nd 0.177 0.323 0.000 1
Ga1 Ga 0.122 0.622 0.000 1
Hg1 Hg 0.000 0.000 0.000 1
Rh1 Rh 0.000 0.500 0.500 1
Rh2 Rh 0.067 0.788 0.500 1
# DFT formation energy   -0.614 eV/atom



15.
# Cd3TcH (PBE, optimized geometry)
data_Cd3TcH
_cell_length_a 5.381
_cell_length_b 5.381
_cell_length_c 5.381
_cell_angle_alpha 90.00
_cell_angle_beta 90.00
_cell_angle_gamma 90.00
_symmetry_space_group_name_H-M 'P m -3 m'
_symmetry_Int_Tables_number 221
_symmetry_space_group_name_Hall '-P 4 2 3'
loop_
_atom_site_label
_atom_site_type_symbol
_atom_site_fract_x
_atom_site_fract_y
_atom_site_fract_z
_atom_site_occupancy
Cd1 Cd 0.000 0.000 0.500 1
Tc1 Tc 0.000 0.000 0.000 1
H1 H 0.500 0.500 0.500 1
# Polymorph energy (0 for the lowest one)   632 meV per atom



16.
# Y5Zn2Cd (PBE, optimized geometry)
data_Y5Zn2Cd
_cell_length_a 8.194
_cell_length_b 8.194
_cell_length_c 12.646
_cell_angle_alpha 90.00
_cell_angle_beta 90.00
_cell_angle_gamma 90.00
_symmetry_space_group_name_H-M 'I 4/m c m'
_symmetry_Int_Tables_number 140
_symmetry_space_group_name_Hall '-I 4 2c'
loop_
_atom_site_label
_atom_site_type_symbol
_atom_site_fract_x
_atom_site_fract_y
_atom_site_fract_z
_atom_site_occupancy
Y1 Y 0.000 0.000 0.000 1
Y2 Y 0.154 0.346 0.146 1
Zn1 Zn 0.139 0.361 0.500 1
Cd1 Cd 0.000 0.000 0.250 1
# DFT formation energy   -0.240 eV/atom



17.
# Ti2TcAg (PBE, optimized geometry)
data_Ti2TcAg
_cell_length_a 3.963
_cell_length_b 3.963
_cell_length_c 17.920
_cell_angle_alpha 90.00
_cell_angle_beta 90.00
_cell_angle_gamma 90.00
_symmetry_space_group_name_H-M 'I -4 2 d'
_symmetry_Int_Tables_number 122
_symmetry_space_group_name_Hall 'I -4 2bw'
loop_
_atom_site_label
_atom_site_type_symbol
_atom_site_fract_x
_atom_site_fract_y
_atom_site_fract_z
_atom_site_occupancy
Ti1 Ti 0.232 0.250 0.125 1
Tc1 Tc 0.000 0.000 0.000 1
Ag1 Ag 0.000 0.000 0.500 1
# DFT formation energy   0.558 eV/atom



18.
# Dy3YTm4 (PBE, optimized geometry)
data_Dy3YTm4
_cell_length_a 25.907
_cell_length_b 5.579
_cell_length_c 3.525
_cell_angle_alpha 90.00
_cell_angle_beta 90.05
_cell_angle_gamma 90.00
_symmetry_space_group_name_H-M 'C 1 2/m 1'
_symmetry_Int_Tables_number 12
loop_
_symmetry_equiv_pos_as_xyz
'x,y,z'
'-x,-y,-z'
'-x,y,-z'
'x,-y,z'
'x+1/2,y+1/2,z'
'-x+1/2,-y+1/2,-z'
'-x+1/2,y+1/2,-z'
'x+1/2,-y+1/2,z'
loop_
_atom_site_label
_atom_site_type_symbol
_atom_site_fract_x
_atom_site_fract_y
_atom_site_fract_z
_atom_site_occupancy
Dy1 Dy 0.000 0.000 0.000 1
Dy2 Dy 0.156 0.000 0.500 1
Y1 Y 0.000 0.500 0.500 1
Tm1 Tm 0.104 0.500 0.000 1
Tm2 Tm 0.223 0.500 0.000 1
# DFT formation energy   0.214 eV/atom
# Polymorph energy (0 for the lowest one)   213 meV per atom



19.
# Ta2ZnW (PBE, optimized geometry)
data_Ta2ZnW
_cell_length_a 3.389
_cell_length_b 4.484
_cell_length_c 8.908
_cell_angle_alpha 90.00
_cell_angle_beta 90.00
_cell_angle_gamma 90.00
_symmetry_space_group_name_H-M 'I m m 2'
_symmetry_Int_Tables_number 44
loop_
_symmetry_equiv_pos_as_xyz
'x,y,z'
'-x,-y,z'
'-x,y,z'
'x,-y,z'
'x+1/2,y+1/2,z+1/2'
'-x+1/2,-y+1/2,z+1/2'
'-x+1/2,y+1/2,z+1/2'
'x+1/2,-y+1/2,z+1/2'
loop_
_atom_site_label
_atom_site_type_symbol
_atom_site_fract_x
_atom_site_fract_y
_atom_site_fract_z
_atom_site_occupancy
Ta1 Ta 0.000 0.000 0.000 1
Ta2 Ta 0.000 0.500 0.244 1
Zn1 Zn 0.000 0.000 0.486 1
W1 W 0.000 0.500 0.738 1
# DFT formation energy   0.134 eV/atom



20.
# ScCF2 (PBE, optimized geometry)
data_ScCF2
_cell_length_a 5.593
_cell_length_b 5.593
_cell_length_c 5.593
_cell_angle_alpha 90.00
_cell_angle_beta 90.00
_cell_angle_gamma 90.00
_symmetry_space_group_name_H-M 'F m -3 m'
_symmetry_Int_Tables_number 225
_symmetry_space_group_name_Hall '-F 4 2 3'
loop_
_atom_site_label
_atom_site_type_symbol
_atom_site_fract_x
_atom_site_fract_y
_atom_site_fract_z
_atom_site_occupancy
Sc1 Sc 0.000 0.000 0.000 1
C1 C 0.000 0.000 0.500 1
F1 F 0.250 0.250 0.250 1
# Energy relative to the elements, uncorrected   -0.768 eV/atom
# Polymorph energy (0 for the lowest one)   299 meV per atom



21.
# HgTe2Se (PBE, optimized geometry)
data_HgTe2Se
_cell_length_a 7.470
_cell_length_b 7.470
_cell_length_c 7.470
_cell_angle_alpha 90.00
_cell_angle_beta 90.00
_cell_angle_gamma 90.00
_symmetry_space_group_name_H-M 'F -4 3 m'
_symmetry_Int_Tables_number 216
_symmetry_space_group_name_Hall 'F -4 2 3'
loop_
_atom_site_label
_atom_site_type_symbol
_atom_site_fract_x
_atom_site_fract_y
_atom_site_fract_z
_atom_site_occupancy
Hg1 Hg 0.000 0.000 0.000 1
Te1 Te 0.000 0.000 0.500 1
Te2 Te 0.250 0.250 0.750 1
Se1 Se 0.250 0.250 0.250 1
# Energy relative to the elements, uncorrected   0.310 eV/atom
# Polymorph energy (0 for the lowest one)   305 meV per atom



22.
# SeF (PBE, optimized geometry)
data_SeF
_cell_length_a 5.962
_cell_length_b 6.849
_cell_length_c 17.371
_cell_angle_alpha 90.00
_cell_angle_beta 90.00
_cell_angle_gamma 90.00
_symmetry_space_group_name_H-M 'F d d d'
_symmetry_Int_Tables_number 70
loop_
_symmetry_equiv_pos_as_xyz
'x,y,z'
'-x,-y,-z'
'-x+1/4,-y+1/4,z'
'x+1/4,y+1/4,-z'
'x,-y+1/4,-z+1/4'
'-x,y+1/4,z+1/4'
'-x+1/4,y,-z+1/4'
'x+1/4,-y,z+1/4'
'x,y+1/2,z+1/2'
'-x,-y+1/2,-z+1/2'
'-x+1/4,-y+3/4,z+1/2'
'x+1/4,y+3/4,-z+1/2'
'x,-y+3/4,-z+3/4'
'-x,y+3/4,z+3/4'
'-x+1/4,y+1/2,-z+3/4'
'x+1/4,-y+1/2,z+3/4'
'x+1/2,y,z+1/2'
'-x+1/2,-y,-z+1/2'
'-x+3/4,-y+1/4,z+1/2'
'x+3/4,y+1/4,-z+1/2'
'x+1/2,-y+1/4,-z+3/4'
'-x+1/2,y+1/4,z+3/4'
'-x+3/4,y,-z+3/4'
'x+3/4,-y,z+3/4'
'x+1/2,y+1/2,z'
'-x+1/2,-y+1/2,-z'
'-x+3/4,-y+3/4,z'
'x+3/4,y+3/4,-z'
'x+1/2,-y+3/4,-z+1/4'
'-x+1/2,y+3/4,z+1/4'
'-x+3/4,y+1/2,-z+1/4'
'x+3/4,-y+1/2,z+1/4'
loop_
_atom_site_label
_atom_site_type_symbol
_atom_site_fract_x
_atom_site_fract_y
_atom_site_fract_z
_atom_site_occupancy
Se1 Se 0.059 0.375 0.375 1
F1 F 0.125 0.125 0.446 1
# Energy relative to the elements, uncorrected   -0.845 eV/atom
# Polymorph energy (0 for the lowest one)   219 meV per atom



23.
# AsPd3W (PBE, optimized geometry)
data_AsPd3W
_cell_length_a 4.598
_cell_length_b 4.598
_cell_length_c 4.598
_cell_angle_alpha 90.00
_cell_angle_beta 90.00
_cell_angle_gamma 90.00
_symmetry_space_group_name_H-M 'P m -3 m'
_symmetry_Int_Tables_number 221
_symmetry_space_group_name_Hall '-P 4 2 3'
loop_
_atom_site_label
_atom_site_type_symbol
_atom_site_fract_x
_atom_site_fract_y
_atom_site_fract_z
_atom_site_occupancy
As1 As 0.000 0.000 0.000 1
Pd1 Pd 0.000 0.000 0.500 1
W1 W 0.500 0.500 0.500 1
# DFT formation energy   0.906 eV/atom